The following is a DFT calculation (PBE) of crystalline Al2TlRe at its relaxed geometry.

Lattice parameters (Å, degrees): 4.305 2.868 6.670 104.50 90.00 90.00
Sites, in units of the cell vectors:
Al  0.500  0.106  0.335
Al  0.000  0.939  0.042
Tl  0.500  0.821  0.745
Re  0.000  0.634  0.378

Properties
Calculated formation energy   1.29 eV/f.u.
Magnetization   0.0 Bohr magnetons per cell